Entry 1:
An optimized crystal structure of La3HfO, computed with GGA-PBE.

Cell lengths 5.0743, 5.0743, 5.0743 Å; angles 90.00, 90.00, 90.00 degrees
Closest atoms and distances in Å follow each position.
Positions (direct):
Hf 0.5000 0.5000 0.5000  12 La 3.59
La 0.0000 0.5000 0.0000  2 O 2.54
La 0.5000 0.0000 0.0000  2 O 2.54
La 0.0000 0.0000 0.5000  2 O 2.54
O 0.0000 0.0000 0.0000  6 La 2.54

Calculated values
Formation energy from raw total energies (meV/atom): -1024
SG: Pm-3m (221)
E above lowest polymorph (meV/atom): 0
Raw total energy (eV/atom): -6.962
Fermi-level density of states (states/eV/f.u.): 4.523


Entry 2:
An optimized crystal structure of MnSi2As, computed with GGA-PBE.

Cell lengths 5.7301, 5.7301, 6.6250 Å; angles 64.38, 64.38, 90.00 degrees
Closest atoms and distances in Å follow each position.
Positions (direct):
Si 0.3750 0.3805 0.7500  2 Mn 2.39, 2 As 2.43
Si 0.6195 0.1250 0.2500  2 Mn 2.39, 2 As 2.43
Si 0.1305 0.6250 0.2500  2 Mn 2.39, 2 As 2.43
Si 0.8750 0.8695 0.7500  2 Mn 2.39, 2 As 2.43
As 0.0000 0.0000 0.0000  4 Si 2.43
As 0.7500 0.2500 0.5000  4 Si 2.43
Mn 0.5000 0.5000 0.0000  4 Si 2.39
Mn 0.2500 0.7500 0.5000  4 Si 2.39

Calculated values
Formation energy from raw total energies (meV/atom): 396
SG: I-42d (122)
Raw total energy (eV/atom): -5.770
Fermi-level density of states (states/eV/f.u.): 4.146


Entry 3:
An optimized crystal structure of K2HfTl, computed with GGA-PBE.

Cell lengths 10.1505, 10.1505, 7.7844 Å; angles 49.31, 49.31, 90.00 degrees
Closest atoms and distances in Å follow each position.
Positions (direct):
K 0.8750 0.9178 0.7500  2 K 3.14, 2 Tl 3.38
K 0.6678 0.1250 0.2500  2 K 3.14, 2 Tl 3.38
K 0.0822 0.6250 0.2500  2 K 3.14, 2 Tl 3.38
K 0.3750 0.3322 0.7500  2 K 3.14, 2 Tl 3.38
Hf 0.2500 0.7500 0.5000  2 Tl 3.01
Hf 0.5000 0.5000 0.0000  2 Tl 3.01
Tl 0.7500 0.2500 0.5000  2 Hf 3.01
Tl 0.0000 0.0000 0.0000  2 Hf 3.01

Calculated values
SG: I-42d (122)
E above lowest polymorph (meV/atom): 0
Formation enthalpy at 0 K (eV/atom): 0.917
Raw total energy (eV/atom): -2.712
Fermi-level density of states (states/eV/f.u.): 5.360